Record 1
The following is a PBEsol calculation of a geometry-optimized TiAs2H4O9 structure, from the Alexandria database.

Crystal system = monoclinic
V = 11.10 Å³ per atom
VASP energy = -409.92 eV per cell
N(E_F) = 0.000 states/eV/cell
Magnetization = 0.000 μB per atom

a = 5.0909 Å, b = 8.8573 Å, c = 16.2381 Å
α = 103.94°, β = 90.00°, γ = 90.00°
Closest atoms and distances in Å follow each position.
Atoms (fractional coordinates):
Ti: 0.7584 0.7470 0.9863  6 O 1.92-2.01
Ti: 0.2584 0.7530 0.5137  6 O 1.92-2.01
Ti: 0.2416 0.2530 0.0137  6 O 1.92-2.01
Ti: 0.7416 0.2470 0.4863  6 O 1.92-2.01
As: 0.2609 0.8857 0.8923  4 O 1.70-1.73
As: 0.7609 0.6143 0.6077  4 O 1.70-1.73
As: 0.7391 0.1143 0.1077  4 O 1.70-1.73
As: 0.2391 0.3857 0.3923  4 O 1.70-1.73
As: 0.7328 0.3592 0.9037  4 O 1.70-1.72
As: 0.2328 0.1408 0.5963  4 O 1.70-1.72
As: 0.2672 0.6408 0.0963  4 O 1.70-1.72
As: 0.7672 0.8592 0.4037  4 O 1.70-1.72
H: 0.7970 0.6732 0.2738  1 O 1.02
H: 0.2970 0.8268 0.2262  1 O 1.02
H: 0.2030 0.3268 0.7262  1 O 1.02
H: 0.7030 0.1732 0.7738  1 O 1.02
H: 0.0736 0.4143 0.2653  1 O 1.03
H: 0.5736 0.0857 0.2347  1 O 1.03
H: 0.9264 0.5857 0.7347  1 O 1.03
H: 0.4264 0.9143 0.7653  1 O 1.03
H: 0.6660 0.4326 0.2222  1 O 0.98
H: 0.1660 0.0674 0.2778  1 O 0.98
H: 0.3340 0.5674 0.7778  1 O 0.98
H: 0.8340 0.9326 0.7222  1 O 0.98
H: 0.4059 0.0207 0.3311  1 O 1.01
H: 0.9059 0.4793 0.1689  1 O 1.01
H: 0.5941 0.9793 0.6689  1 O 1.01
H: 0.0941 0.5207 0.8311  1 O 1.01
O: 0.3744 0.0660 0.9401  1 As 1.70
O: 0.8744 0.4340 0.5599  1 As 1.70
O: 0.6256 0.9340 0.0599  1 As 1.70
O: 0.1256 0.5660 0.4401  1 As 1.70
O: 0.9418 0.8544 0.9132  1 As 1.70
O: 0.4418 0.6456 0.5868  1 As 1.70
O: 0.0582 0.1456 0.0868  1 As 1.70
O: 0.5582 0.3544 0.4132  1 As 1.70
O: 0.4557 0.7410 0.9111  1 As 1.71
O: 0.9557 0.7590 0.5889  1 As 1.71
O: 0.5443 0.2590 0.0889  1 As 1.71
O: 0.0443 0.2410 0.4111  1 As 1.71
O: 0.2554 0.8712 0.7841  1 H 1.03
O: 0.7554 0.6288 0.7159  1 H 1.03
O: 0.7446 0.1288 0.2159  1 H 1.03
O: 0.2446 0.3712 0.2841  1 H 1.03
O: 0.9258 0.2429 0.9474  1 As 1.70
O: 0.4258 0.2571 0.5526  1 As 1.70
O: 0.0742 0.7571 0.0526  1 As 1.70
O: 0.5742 0.7429 0.4474  1 As 1.70
O: 0.4205 0.3690 0.9420  1 As 1.70
O: 0.9205 0.1310 0.5580  1 As 1.70
O: 0.5795 0.6310 0.0580  1 As 1.70
O: 0.0795 0.8690 0.4420  1 As 1.70
O: 0.8674 0.5398 0.9134  1 As 1.71, 1 H 1.74
O: 0.3674 0.9602 0.5866  1 As 1.71, 1 H 1.74
O: 0.1326 0.4602 0.0866  1 As 1.71, 1 H 1.74
O: 0.6326 0.0398 0.4134  1 As 1.71, 1 H 1.74
O: 0.7277 0.2907 0.7952  1 H 1.02
O: 0.2277 0.2093 0.7048  1 H 1.02
O: 0.2723 0.7093 0.2048  1 H 1.02
O: 0.7723 0.7907 0.2952  1 H 1.02
O: 0.1678 0.5089 0.7724  2 H 0.98-1.01
O: 0.6678 0.9911 0.7276  2 H 0.98-1.01
O: 0.8322 0.4911 0.2276  2 H 0.98-1.01
O: 0.3322 0.0089 0.2724  2 H 0.98-1.01



Record 2
The following is a PBEsol calculation of a geometry-optimized Zn2AsHO5 structure, from the Alexandria database.

Crystal system = orthorhombic
V = 11.96 Å³ per atom
VASP energy = -198.89 eV per cell
N(E_F) = 0.000 states/eV/cell
Magnetization = 0.000 μB per atom

a = 6.0802 Å, b = 8.3232 Å, c = 8.5077 Å
α = 90.00°, β = 90.00°, γ = 90.00°
Closest atoms and distances in Å follow each position.
Atoms (fractional coordinates):
Zn: 0.7475 0.0000 0.5000  6 O 2.06-2.22
Zn: 0.7525 0.5000 0.0000  6 O 2.06-2.22
Zn: 0.2525 0.0000 0.5000  6 O 2.06-2.22
Zn: 0.2475 0.5000 0.0000  6 O 2.06-2.22
Zn: 0.5000 0.1360 0.1354  5 O 2.01-2.06
Zn: 0.5000 0.8640 0.8646  5 O 2.01-2.06
Zn: 0.0000 0.6360 0.3646  5 O 2.01-2.06
Zn: 0.0000 0.3640 0.6354  5 O 2.01-2.06
As: 0.0000 0.2498 0.2540  4 O 1.71-1.72
As: 0.0000 0.7502 0.7460  4 O 1.71-1.72
As: 0.5000 0.7498 0.2460  4 O 1.71-1.72
As: 0.5000 0.2502 0.7540  4 O 1.71-1.72
H: 0.5000 0.2151 0.4194  1 O 0.98
H: 0.5000 0.7849 0.5806  1 O 0.98
H: 0.0000 0.7151 0.0806  1 O 0.98
H: 0.0000 0.2849 0.9194  1 O 0.98
O: 0.0000 0.0699 0.3532  1 As 1.72
O: 0.0000 0.9301 0.6468  1 As 1.72
O: 0.5000 0.5699 0.1468  1 As 1.72
O: 0.5000 0.4301 0.8532  1 As 1.72
O: 0.5000 0.1078 0.3712  1 H 0.98
O: 0.5000 0.8922 0.6288  1 H 0.98
O: 0.0000 0.6078 0.1288  1 H 0.98
O: 0.0000 0.3922 0.8712  1 H 0.98
O: 0.0000 0.3962 0.3951  1 As 1.71
O: 0.0000 0.6038 0.6049  1 As 1.71
O: 0.5000 0.8962 0.1049  1 As 1.71
O: 0.5000 0.1038 0.8951  1 As 1.71
O: 0.7755 0.2708 0.1326  1 As 1.72
O: 0.7755 0.7292 0.8674  1 As 1.72
O: 0.7245 0.7708 0.3674  1 As 1.72
O: 0.7245 0.2292 0.6326  1 As 1.72
O: 0.2245 0.7292 0.8674  1 As 1.72
O: 0.2245 0.2708 0.1326  1 As 1.72
O: 0.2755 0.2292 0.6326  1 As 1.72
O: 0.2755 0.7708 0.3674  1 As 1.72



Record 3
The following is a PBEsol calculation of a geometry-optimized Zn2AsH3O6 structure, from the Alexandria database.

Crystal system = monoclinic
V = 10.36 Å³ per atom
VASP energy = -517.80 eV per cell
N(E_F) = 0.000 states/eV/cell
Magnetization = 0.000 μB per atom

a = 7.9405 Å, b = 10.2024 Å, c = 12.6459 Å
α = 103.94°, β = 90.00°, γ = 90.00°
Closest atoms and distances in Å follow each position.
Atoms (fractional coordinates):
Zn: 0.4555 0.1122 0.5969  6 O 2.03-2.14
Zn: 0.9555 0.3878 0.4031  6 O 2.03-2.14
Zn: 0.5445 0.8878 0.4031  6 O 2.03-2.14
Zn: 0.0445 0.6122 0.5969  6 O 2.03-2.14
Zn: 0.1673 0.0380 0.7483  5 O 1.97-2.10
Zn: 0.6673 0.4620 0.2517  5 O 1.97-2.10
Zn: 0.8327 0.9620 0.2517  5 O 1.97-2.10
Zn: 0.3327 0.5380 0.7483  5 O 1.97-2.10
Zn: 0.6950 0.3728 0.6415  4 O 1.97-2.08
Zn: 0.1950 0.1272 0.3585  4 O 1.97-2.08
Zn: 0.3050 0.6272 0.3585  4 O 1.97-2.08
Zn: 0.8050 0.8728 0.6415  4 O 1.97-2.08
Zn: 0.2604 0.0573 0.9934  5 O 1.99-2.10
Zn: 0.7604 0.4427 0.0066  5 O 1.99-2.10
Zn: 0.7396 0.9427 0.0066  5 O 1.99-2.10
Zn: 0.2396 0.5573 0.9934  5 O 1.99-2.10
As: 0.4470 0.2784 0.8515  4 O 1.71-1.72
As: 0.9470 0.2216 0.1485  4 O 1.71-1.72
As: 0.5530 0.7216 0.1485  4 O 1.71-1.72
As: 0.0530 0.7784 0.8515  4 O 1.71-1.72
As: 0.0810 0.2859 0.6156  4 O 1.69-1.73
As: 0.5810 0.2141 0.3844  4 O 1.69-1.73
As: 0.9190 0.7141 0.3844  4 O 1.69-1.73
As: 0.4190 0.7859 0.6156  4 O 1.69-1.73
H: 0.7592 0.5315 0.5189  1 O 0.98
H: 0.2592 0.9685 0.4811  1 O 0.98
H: 0.2408 0.4685 0.4811  1 O 0.98
H: 0.7408 0.0315 0.5189  1 O 0.98
H: 0.8871 0.1176 0.7053  1 O 1.00
H: 0.3871 0.3824 0.2947  1 O 1.00
H: 0.1129 0.8824 0.2947  1 O 1.00
H: 0.6129 0.6176 0.7053  1 O 1.00
H: 0.9478 0.3311 0.8392  1 O 1.00
H: 0.4478 0.1689 0.1608  1 O 1.00
H: 0.0522 0.6689 0.1608  1 O 1.00
H: 0.5522 0.8311 0.8392  1 O 1.00
H: 0.0142 0.2848 0.9485  1 O 1.01
H: 0.5142 0.2152 0.0515  1 O 1.01
H: 0.9858 0.7152 0.0515  1 O 1.01
H: 0.4858 0.7848 0.9485  1 O 1.01
H: 0.7051 0.1562 0.9257  1 O 1.01
H: 0.2051 0.3438 0.0743  1 O 1.01
H: 0.2949 0.8438 0.0743  1 O 1.01
H: 0.7949 0.6562 0.9257  1 O 1.01
H: 0.8352 0.0555 0.8401  1 O 1.02
H: 0.3352 0.4445 0.1599  1 O 1.02
H: 0.1648 0.9445 0.1599  1 O 1.02
H: 0.6648 0.5555 0.8401  1 O 1.02
O: 0.5555 0.2393 0.7307  1 As 1.71
O: 0.0555 0.2607 0.2693  1 As 1.71
O: 0.4445 0.7607 0.2693  1 As 1.71
O: 0.9445 0.7393 0.7307  1 As 1.71
O: 0.3405 0.4269 0.8616  1 As 1.71
O: 0.8405 0.0731 0.1384  1 As 1.71
O: 0.6595 0.5731 0.1384  1 As 1.71
O: 0.1595 0.9269 0.8616  1 As 1.71
O: 0.3145 0.1512 0.8665  1 As 1.72
O: 0.8145 0.3488 0.1335  1 As 1.72
O: 0.6855 0.8488 0.1335  1 As 1.72
O: 0.1855 0.6512 0.8665  1 As 1.72
O: 0.5911 0.2928 0.9556  2 H 1.63-1.71, 1 As 1.72
O: 0.0911 0.2072 0.0444  2 H 1.63-1.71, 1 As 1.72
O: 0.4089 0.7072 0.0444  2 H 1.63-1.71, 1 As 1.72
O: 0.9089 0.7928 0.9556  2 H 1.63-1.71, 1 As 1.72
O: 0.5448 0.2649 0.5229  1 As 1.73
O: 0.0448 0.2351 0.4771  1 As 1.73
O: 0.4552 0.7351 0.4771  1 As 1.73
O: 0.9552 0.7649 0.5229  1 As 1.73
O: 0.1637 0.4449 0.6415  1 As 1.71
O: 0.6637 0.0551 0.3585  1 As 1.71
O: 0.8363 0.5551 0.3585  1 As 1.71
O: 0.3363 0.9449 0.6415  1 As 1.71
O: 0.2169 0.1809 0.6579  1 As 1.69
O: 0.7169 0.3191 0.3421  1 As 1.69
O: 0.7831 0.8191 0.3421  1 As 1.69
O: 0.2831 0.6809 0.6579  1 As 1.69
O: 0.8965 0.2830 0.6870  1 As 1.73, 2 H 1.76-1.91
O: 0.3965 0.2170 0.3130  1 As 1.73, 2 H 1.76-1.91
O: 0.1035 0.7170 0.3130  1 As 1.73, 2 H 1.76-1.91
O: 0.6035 0.7830 0.6870  1 As 1.73, 2 H 1.76-1.91
O: 0.9678 0.3609 0.9191  2 H 1.00-1.01
O: 0.4678 0.1391 0.0809  2 H 1.00-1.01
O: 0.0322 0.6391 0.0809  2 H 1.00-1.01
O: 0.5322 0.8609 0.9191  2 H 1.00-1.01
O: 0.8386 0.4819 0.5544  1 H 0.98
O: 0.3386 0.0181 0.4456  1 H 0.98
O: 0.1614 0.5181 0.4456  1 H 0.98
O: 0.6614 0.9819 0.5544  1 H 0.98
O: 0.9212 0.0339 0.7279  1 H 1.00
O: 0.4212 0.4661 0.2721  1 H 1.00
O: 0.0788 0.9661 0.2721  1 H 1.00
O: 0.5788 0.5339 0.7279  1 H 1.00
O: 0.7765 0.0723 0.9144  2 H 1.01-1.02
O: 0.2765 0.4277 0.0856  2 H 1.01-1.02
O: 0.2235 0.9277 0.0856  2 H 1.01-1.02
O: 0.7235 0.5723 0.9144  2 H 1.01-1.02